[1]
KWSe2Br: relaxed, PBE.

a b c (Å): 5.735 5.735 5.561
angles (deg): 90.00 90.00 90.00
Element x y z (fractional)
W1 0.500 0.500 0.500
K1 0.000 0.000 0.000
Br1 0.000 0.000 0.500
Se1 0.000 0.500 0.000
Se2 0.500 0.000 0.000

Output
Energy above the lowest structure with this stoichiometry (eV per atom): 2.032

---

[2]
Ce2BeIr6Os: relaxed, PBE.

a b c (Å): 6.383 6.383 6.383
angles (deg): 60.00 60.00 90.00
Element x y z (fractional)
Ir1 0.770 0.230 0.000
Ir2 0.770 0.770 0.000
Ir3 0.230 0.230 0.000
Ir4 0.230 0.770 0.000
Ir5 0.770 0.770 0.461
Ir6 0.230 0.230 0.539
Os1 0.500 0.500 0.000
Be1 0.000 0.000 0.000
Ce1 0.250 0.750 0.500
Ce2 0.750 0.250 0.500

Output
VASP energy (eV/atom): -7.96

---

[3]
Cu3Pt3Se8: relaxed, PBE.

a b c (Å): 7.598 7.598 7.598
angles (deg): 59.38 59.38 59.38
Element x y z (fractional)
Pt1 0.000 0.500 0.000
Pt2 0.500 0.000 0.000
Pt3 0.000 0.000 0.500
Cu1 0.574 0.574 0.574
Cu2 0.000 0.000 0.000
Cu3 0.426 0.426 0.426
Se1 0.241 0.785 0.241
Se2 0.759 0.759 0.215
Se3 0.236 0.236 0.236
Se4 0.241 0.241 0.785
Se5 0.215 0.759 0.759
Se6 0.785 0.241 0.241
Se7 0.764 0.764 0.764
Se8 0.759 0.215 0.759

Output
VASP energy (eV/atom): -4.44